{"formula": "Sc2TaCr", "functional": "PBE", "state": "optimized geometry", "dos_at_fermi_per_ev_cell": 6.46, "relative_energy_ev_per_atom": 0.270, "space_group": "R-3m, No. 166", "e_tot_ev_per_atom": -8.1425, "formation_enthalpy_0k_kj_per_mol_atoms": 37.85, "lattice": [[-6.905, 3.832, -5.710], [-5.762, 1.784, -7.654], [-7.891, 0.950, -5.640]], "species": ["Cr", "Sc", "Sc", "Ta"], "fractional_positions": [[0.750, 0.750, 0.750], [0.005, 0.005, 0.005], [0.495, 0.495, 0.495], [0.250, 0.250, 0.250]]}